Entry from Alexandria via LeMat-Bulk: a relaxed structure of Be2Ru (GGA-PBEsol).

a = 3.8521 Å, b = 3.8521 Å, c = 4.4746 Å
α = 90.00°, β = 90.00°, γ = 120.00°
Closest atoms and distances in Å follow each position.
Fractional positions:
Ru 0.6667 0.3333 0.2500  11 Be 2.22-2.49
Ru 0.3333 0.6667 0.7500  11 Be 2.22-2.49
Be 0.3333 0.6667 0.2500  5 Ru 2.22-2.24, 6 Be 2.49
Be 0.0000 0.0000 0.0000  8 Be 2.24-2.49, 6 Ru 2.49
Be 0.0000 0.0000 0.5000  8 Be 2.24-2.49, 6 Ru 2.49
Be 0.6667 0.3333 0.7500  5 Ru 2.22-2.24, 6 Be 2.49

Results
* energy relative to the elements: -0.844 eV per formula unit
* theoretical density: 6.9 g/cm3
* magnetic moment: 0.00 μB/f.u.
* DOS(E_F): 0.4 states/eV/f.u.

***

Entry from Alexandria via LeMat-Bulk: a relaxed structure of Cd2Cu (GGA-PBEsol).

a = 2.9467 Å, b = 2.9467 Å, c = 12.4862 Å
α = 96.78°, β = 96.78°, γ = 90.00°
Closest atoms and distances in Å follow each position.
Fractional positions:
Cd 0.6775 0.1775 0.3551  4 Cu 2.74, 6 Cd 2.95-2.98
Cd 0.8225 0.3225 0.6449  4 Cu 2.74, 6 Cd 2.95-2.98
Cd 0.5725 0.5725 0.1449  4 Cu 2.74, 6 Cd 2.95-2.98
Cd 0.4275 0.4275 0.8551  4 Cu 2.74, 6 Cd 2.95-2.98
Cu 0.0000 0.0000 0.0000  8 Cd 2.74, 4 Cu 2.95
Cu 0.2500 0.7500 0.5000  8 Cd 2.74, 4 Cu 2.95

Results
* energy relative to the elements: 0.233 eV per formula unit
* theoretical density: 9.0 g/cm3
* magnetic moment: 0.00 μB/f.u.
* DOS(E_F): 1.0 states/eV/f.u.

***

Entry from Alexandria via LeMat-Bulk: a relaxed structure of TcSbAs2 (GGA-PBEsol).

a = 4.3947 Å, b = 4.7403 Å, c = 4.7403 Å
α = 110.45°, β = 108.55°, γ = 108.55°
Closest atoms and distances in Å follow each position.
Fractional positions:
Sb 0.5000 0.0000 0.0000  4 As 2.67, 2 Tc 2.70
Tc 0.5000 0.5000 0.5000  4 As 2.67, 2 Sb 2.70
As 0.0000 0.0000 0.5000  2 Tc 2.67, 2 Sb 2.67, 2 As 2.70
As 0.0000 0.5000 0.0000  2 Sb 2.67, 2 Tc 2.67, 2 As 2.70

Results
* theoretical density: 8.0 g/cm3
* magnetic moment: 0.00 μB/f.u.
* uncorrected energy: -6.06 eV per atom
* DOS(E_F): 3.7 states/eV/f.u.

***

Entry from Alexandria via LeMat-Bulk: a relaxed structure of Tc5Ru (GGA-PBEsol).

a = 3.8095 Å, b = 3.8159 Å, c = 6.0442 Å
α = 71.60°, β = 90.00°, γ = 90.00°
Closest atoms and distances in Å follow each position.
Fractional positions:
Ru 0.0000 0.5000 0.0000  12 Tc 2.69-2.70
Tc 0.5000 0.3343 0.3314  2 Ru 2.69, 10 Tc 2.69-2.72
Tc 0.5000 0.0000 0.0000  8 Tc 2.69, 4 Ru 2.70
Tc 0.0000 0.8349 0.3301  10 Tc 2.69-2.73, 2 Ru 2.69
Tc 0.0000 0.1651 0.6699  10 Tc 2.69-2.73, 2 Ru 2.69
Tc 0.5000 0.6657 0.6686  2 Ru 2.69, 10 Tc 2.69-2.72

Results
* energy relative to the elements: 0.389 eV per formula unit
* theoretical density: 11.8 g/cm3
* magnetic moment: 0.00 μB/f.u.
* DOS(E_F): 7.1 states/eV/f.u.

***

Entry from Alexandria via LeMat-Bulk: a relaxed structure of Ta2CrAs (GGA-PBEsol).

a = 3.4343 Å, b = 4.1021 Å, c = 4.3560 Å
α = 90.00°, β = 90.00°, γ = 90.00°
Closest atoms and distances in Å follow each position.
Fractional positions:
As 0.5000 0.5000 0.0000  8 Ta 2.67-2.99, 4 Cr 2.77
Ta 0.0000 0.0000 0.0000  4 As 2.67, 4 Ta 2.77, 4 Cr 2.99
Ta 0.5000 0.0000 0.5000  4 Cr 2.67, 4 Ta 2.77, 4 As 2.99
Cr 0.0000 0.5000 0.5000  8 Ta 2.67-2.99, 4 As 2.77

Results
* energy relative to the elements: -0.042 eV per formula unit
* theoretical density: 13.2 g/cm3
* magnetic moment: 1.32 μB/f.u.
* DOS(E_F): 3.0 states/eV/f.u.

***

Entry from Alexandria via LeMat-Bulk: a relaxed structure of AlCr2As (GGA-PBEsol).

a = 3.0039 Å, b = 3.0039 Å, c = 5.8507 Å
α = 90.00°, β = 90.00°, γ = 90.00°
Closest atoms and distances in Å follow each position.
Fractional positions:
Cr 0.0000 0.0000 0.7321  4 As 2.52, 4 Al 2.64, 1 Cr 2.72
Cr 0.0000 0.0000 0.2679  4 As 2.52, 4 Al 2.64, 1 Cr 2.72
Al 0.5000 0.5000 0.0000  8 Cr 2.64, 2 As 2.93
As 0.5000 0.5000 0.5000  8 Cr 2.52

Results
* energy relative to the elements: 0.201 eV per formula unit
* theoretical density: 6.5 g/cm3
* magnetic moment: 3.70 μB/f.u.
* DOS(E_F): 2.4 states/eV/f.u.

***

Entry from Alexandria via LeMat-Bulk: a relaxed structure of CsCd3Rh (GGA-PBEsol).

a = 7.3560 Å, b = 7.3362 Å, c = 7.3362 Å
α = 60.27°, β = 59.91°, γ = 59.91°
Closest atoms and distances in Å follow each position.
Fractional positions:
Cd 0.2107 0.7893 0.2893  2 Rh 2.63
Cd 0.7500 0.8259 0.6741  2 Rh 2.64
Cd 0.7893 0.2107 0.7107  2 Rh 2.63
Cd 0.7107 0.7893 0.2893  2 Rh 2.63
Cd 0.2500 0.1741 0.3259  2 Rh 2.64
Cd 0.2893 0.2107 0.7107  2 Rh 2.63
Rh 0.0000 0.5000 0.5000  6 Cd 2.63-2.64
Rh 0.5000 0.0000 0.0000  6 Cd 2.63-2.64
Cs 0.2500 0.6628 0.8372  12 Cd 3.60-3.87, 2 Rh 3.99
Cs 0.7500 0.3372 0.1628  12 Cd 3.60-3.87, 2 Rh 3.99

Results
* energy relative to the elements: -0.132 eV per formula unit
* theoretical density: 6.8 g/cm3
* magnetic moment: 0.00 μB/f.u.
* DOS(E_F): 1.4 states/eV/f.u.

***

Entry from Alexandria via LeMat-Bulk: a relaxed structure of Cd2SiP (GGA-PBEsol).

a = 2.8365 Å, b = 2.8365 Å, c = 10.6355 Å
α = 82.34°, β = 82.34°, γ = 60.00°
Closest atoms and distances in Å follow each position.
Fractional positions:
Cd 0.7507 0.7507 0.7478  6 Cd 2.84, 3 P 3.08, 3 Si 3.12
Cd 0.2493 0.2493 0.2522  6 Cd 2.84, 3 P 3.08, 3 Si 3.12
P 0.5000 0.5000 0.5000  6 P 2.84, 6 Cd 3.08
Si 0.0000 0.0000 0.0000  6 Si 2.84, 6 Cd 3.12

Results
* theoretical density: 6.4 g/cm3
* magnetic moment: 0.00 μB/f.u.
* uncorrected energy: -3.06 eV per atom
* DOS(E_F): 1.5 states/eV/f.u.

***

Entry from Alexandria via LeMat-Bulk: a relaxed structure of YSc3Ir (GGA-PBEsol).

a = 4.7545 Å, b = 4.7545 Å, c = 4.7545 Å
α = 90.00°, β = 90.00°, γ = 90.00°
Closest atoms and distances in Å follow each position.
Fractional positions:
Sc 0.5000 0.0000 0.0000  2 Y 2.38
Sc 0.0000 0.0000 0.5000  2 Y 2.38
Sc 0.0000 0.5000 0.0000  2 Y 2.38
Y 0.0000 0.0000 0.0000  6 Sc 2.38
Ir 0.5000 0.5000 0.5000  12 Sc 3.36

Results
* energy relative to the elements: 6.542 eV per formula unit
* theoretical density: 6.4 g/cm3
* magnetic moment: 0.00 μB/f.u.
* DOS(E_F): 3.1 states/eV/f.u.

***

Entry from Alexandria via LeMat-Bulk: a relaxed structure of Ca2CdH2 (GGA-PBEsol).

a = 3.8263 Å, b = 3.8263 Å, c = 6.8371 Å
α = 106.25°, β = 106.25°, γ = 90.00°
Closest atoms and distances in Å follow each position.
Fractional positions:
H 0.7500 0.2500 0.5000  4 Ca 2.26
H 0.2500 0.7500 0.5000  4 Ca 2.26
Ca 0.3465 0.3465 0.6930  4 H 2.26
Ca 0.6535 0.6535 0.3070  4 H 2.26
Cd 0.0000 0.0000 0.0000  8 Ca 3.32, 8 H 3.68

Results
* theoretical density: 3.5 g/cm3
* magnetic moment: 0.00 μB/f.u.
* uncorrected energy: -2.87 eV per atom
* DOS(E_F): 2.0 states/eV/f.u.

***

Entry from Alexandria via LeMat-Bulk: a relaxed structure of TlZnSi2 (GGA-PBEsol).

a = 4.0818 Å, b = 4.0818 Å, c = 9.7262 Å
α = 102.11°, β = 102.11°, γ = 90.00°
Closest atoms and distances in Å follow each position.
Fractional positions:
Tl 0.0000 0.0000 0.0000  4 Si 2.87, 4 Zn 2.89
Tl 0.2500 0.7500 0.5000  4 Si 2.87, 4 Zn 2.89
Zn 0.7500 0.2500 0.5000  4 Si 2.63, 4 Tl 2.89
Zn 0.5000 0.5000 0.0000  4 Si 2.63, 4 Tl 2.89
Si 0.4542 0.8750 0.2500  2 Si 2.47, 2 Zn 2.63
Si 0.1250 0.2042 0.7500  2 Si 2.47, 2 Zn 2.63
Si 0.6250 0.5458 0.7500  2 Si 2.47, 2 Zn 2.63
Si 0.7958 0.3750 0.2500  2 Si 2.47, 2 Zn 2.63

Results
* theoretical density: 7.0 g/cm3
* magnetic moment: 0.00 μB/f.u.
* uncorrected energy: -3.52 eV per atom
* DOS(E_F): 1.5 states/eV/f.u.

***

Entry from Alexandria via LeMat-Bulk: a relaxed structure of LiLa2W (GGA-PBEsol).

a = 2.9530 Å, b = 2.9530 Å, c = 10.3716 Å
α = 90.00°, β = 90.00°, γ = 90.00°
Closest atoms and distances in Å follow each position.
Fractional positions:
La 0.5000 0.5000 0.2803  4 La 2.95
La 0.0000 0.0000 0.9586  4 La 2.95, 4 W 3.21
W 0.5000 0.5000 0.7232  4 Li 2.84, 4 W 2.95
Li 0.0000 0.0000 0.5380  4 W 2.84, 4 Li 2.95

Results
* energy relative to the elements: 2.630 eV per formula unit
* theoretical density: 8.6 g/cm3
* magnetic moment: 0.00 μB/f.u.
* DOS(E_F): 4.1 states/eV/f.u.

***

Entry from Alexandria via LeMat-Bulk: a relaxed structure of BaMgTl2 (GGA-PBEsol).

a = 4.9573 Å, b = 4.9573 Å, c = 6.6313 Å
α = 68.05°, β = 68.05°, γ = 60.00°
Closest atoms and distances in Å follow each position.
Fractional positions:
Tl 0.7824 0.7824 0.6527  3 Mg 3.00
Tl 0.2176 0.2176 0.3473  3 Mg 3.00
Ba 0.0000 0.0000 0.0000  8 Tl 3.54-3.90
Mg 0.5000 0.5000 0.5000  6 Tl 3.00

Results
* energy relative to the elements: -1.306 eV per formula unit
* theoretical density: 7.4 g/cm3
* magnetic moment: 0.00 μB/f.u.
* DOS(E_F): 2.0 states/eV/f.u.

***

Entry from Alexandria via LeMat-Bulk: a relaxed structure of NbSn2H2 (GGA-PBEsol).

a = 4.6503 Å, b = 4.6503 Å, c = 4.6503 Å
α = 79.09°, β = 66.08°, γ = 113.92°
Closest atoms and distances in Å follow each position.
Fractional positions:
Nb 0.0000 0.0000 0.0000  2 H 1.87
Sn 0.5000 0.2500 0.2500  4 H 2.57
Sn 0.5000 0.7500 0.7500  4 H 2.57
H 0.0000 0.3157 0.6843  1 Nb 1.87
H 0.0000 0.6843 0.3157  1 Nb 1.87

Results
* theoretical density: 7.2 g/cm3
* magnetic moment: 0.00 μB/f.u.
* uncorrected energy: -4.94 eV per atom
* DOS(E_F): 2.5 states/eV/f.u.

***

Entry from Alexandria via LeMat-Bulk: a relaxed structure of Li2ZrAl (GGA-PBEsol).

a = 2.7526 Å, b = 4.4437 Å, c = 5.7873 Å
α = 90.00°, β = 90.00°, γ = 90.00°
Closest atoms and distances in Å follow each position.
Fractional positions:
Li 0.0000 0.0000 0.2759  3 Li 2.59-2.75
Li 0.0000 0.0000 0.7241  3 Li 2.59-2.75
Al 0.5000 0.5000 0.5000  2 Al 2.75, 2 Zr 2.89, 8 Li 2.92
Zr 0.5000 0.5000 0.0000  2 Zr 2.75, 2 Al 2.89, 8 Li 3.06

Results
* energy relative to the elements: 0.302 eV per formula unit
* theoretical density: 3.1 g/cm3
* magnetic moment: 0.00 μB/f.u.
* DOS(E_F): 1.5 states/eV/f.u.

***

Entry from Alexandria via LeMat-Bulk: a relaxed structure of SrTm2O4 (GGA-PBEsol).

a = 3.3364 Å, b = 9.9008 Å, c = 11.6897 Å
α = 90.00°, β = 90.00°, γ = 90.00°
Closest atoms and distances in Å follow each position.
Fractional positions:
Tm 0.2500 0.5773 0.1097  6 O 2.17-2.30
Tm 0.7500 0.9237 0.1116  6 O 2.21-2.27
Tm 0.7500 0.9227 0.6097  6 O 2.17-2.30
Tm 0.7500 0.4227 0.8903  6 O 2.17-2.30
Tm 0.2500 0.5763 0.6116  6 O 2.21-2.27
Tm 0.2500 0.0773 0.3903  6 O 2.17-2.30
Tm 0.2500 0.0763 0.8884  6 O 2.21-2.27
Tm 0.7500 0.4237 0.3884  6 O 2.21-2.27
O 0.2500 0.5738 0.4229  3 Tm 2.21-2.27
O 0.2500 0.4837 0.7832  3 Tm 2.17-2.21
O 0.7500 0.5163 0.2168  3 Tm 2.17-2.21
O 0.2500 0.8761 0.4804  3 Tm 2.25-2.30
O 0.2500 0.2891 0.3284  3 Tm 2.22-2.25
O 0.7500 0.6239 0.9804  3 Tm 2.25-2.30
O 0.7500 0.9262 0.9229  3 Tm 2.21-2.27
O 0.7500 0.7109 0.6716  3 Tm 2.22-2.25
O 0.2500 0.7891 0.1716  3 Tm 2.22-2.25
O 0.7500 0.0163 0.2832  3 Tm 2.17-2.21
O 0.7500 0.1239 0.5196  3 Tm 2.25-2.30
O 0.7500 0.2109 0.8284  3 Tm 2.22-2.25
O 0.7500 0.4262 0.5771  3 Tm 2.21-2.27
O 0.2500 0.9837 0.7168  3 Tm 2.17-2.21
O 0.2500 0.0738 0.0771  3 Tm 2.21-2.27
O 0.2500 0.3761 0.0196  3 Tm 2.25-2.30
Sr 0.7500 0.7527 0.3496  8 O 2.57-2.81
Sr 0.2500 0.7473 0.8496  8 O 2.57-2.81
Sr 0.7500 0.2527 0.1504  8 O 2.57-2.81
Sr 0.2500 0.2473 0.6504  8 O 2.57-2.81

Results
* theoretical density: 8.4 g/cm3
* magnetic moment: 0.00 μB/f.u.
* uncorrected energy: -8.13 eV per atom
* DOS(E_F): 0.0 states/eV/f.u.

***

Entry from Alexandria via LeMat-Bulk: a relaxed structure of DyAlPt (GGA-PBEsol).

a = 4.3604 Å, b = 6.8267 Å, c = 7.6835 Å
α = 90.00°, β = 90.00°, γ = 90.00°
Closest atoms and distances in Å follow each position.
Fractional positions:
Al 0.2500 0.1450 0.9355  4 Pt 2.58-2.64
Al 0.7500 0.8550 0.0645  4 Pt 2.58-2.64
Al 0.7500 0.3550 0.4355  4 Pt 2.58-2.64
Al 0.2500 0.6450 0.5645  4 Pt 2.58-2.64
Pt 0.2500 0.7714 0.8845  4 Al 2.58-2.64, 1 Dy 2.82
Pt 0.7500 0.2286 0.1155  4 Al 2.58-2.64, 1 Dy 2.82
Pt 0.2500 0.2714 0.6155  4 Al 2.58-2.64, 1 Dy 2.82
Pt 0.7500 0.7286 0.3845  4 Al 2.58-2.64, 1 Dy 2.82
Dy 0.7500 0.9712 0.6813  5 Pt 2.82-3.03, 1 Al 3.05
Dy 0.7500 0.4712 0.8187  5 Pt 2.82-3.03, 1 Al 3.05
Dy 0.2500 0.5288 0.1813  5 Pt 2.82-3.03, 1 Al 3.05
Dy 0.2500 0.0288 0.3187  5 Pt 2.82-3.03, 1 Al 3.05

Results
* energy relative to the elements: -3.456 eV per formula unit
* theoretical density: 11.2 g/cm3
* magnetic moment: 0.00 μB/f.u.
* DOS(E_F): 1.4 states/eV/f.u.

***

Entry from Alexandria via LeMat-Bulk: a relaxed structure of CrRhCl2 (GGA-PBEsol).

a = 3.4250 Å, b = 3.2930 Å, c = 6.9084 Å
α = 90.00°, β = 90.00°, γ = 121.33°
Closest atoms and distances in Å follow each position.
Fractional positions:
Cr 0.5000 0.0000 0.5000  4 Cl 2.41
Rh 0.5000 0.0000 0.0000  4 Cl 2.46
Cl 0.0000 0.0000 0.7450  2 Cr 2.41, 2 Rh 2.46
Cl 0.0000 0.0000 0.2550  2 Cr 2.41, 2 Rh 2.46

Results
* theoretical density: 5.6 g/cm3
* magnetic moment: 4.41 μB/f.u.
* uncorrected energy: -5.31 eV per atom
* DOS(E_F): 3.7 states/eV/f.u.

***

Entry from Alexandria via LeMat-Bulk: a relaxed structure of Sr2RuSe (GGA-PBEsol).

a = 3.9632 Å, b = 3.9632 Å, c = 8.4710 Å
α = 76.47°, β = 76.47°, γ = 60.00°
Closest atoms and distances in Å follow each position.
Fractional positions:
Ru 0.5000 0.5000 0.5000  6 Sr 3.13
Sr 0.7458 0.7458 0.7625  3 Se 3.00, 3 Ru 3.13
Sr 0.2542 0.2542 0.2375  3 Se 3.00, 3 Ru 3.13
Se 0.0000 0.0000 0.0000  6 Sr 3.00

Results
* theoretical density: 5.3 g/cm3
* magnetic moment: 1.11 μB/f.u.
* uncorrected energy: -4.61 eV per atom
* DOS(E_F): 6.0 states/eV/f.u.

***

Entry from Alexandria via LeMat-Bulk: a relaxed structure of MnSnSbI2 (GGA-PBEsol).

a = 5.2942 Å, b = 5.2942 Å, c = 5.3117 Å
α = 90.00°, β = 90.00°, γ = 90.00°
Closest atoms and distances in Å follow each position.
Fractional positions:
Mn 0.0000 0.0000 0.0000  4 I 2.65, 2 Sb 2.66
Sb 0.0000 0.0000 0.5000  2 Mn 2.66
Sn 0.5000 0.5000 0.5000  4 Sb 3.74, 8 I 3.75
I 0.0000 0.5000 0.0000  2 Mn 2.65
I 0.5000 0.0000 0.0000  2 Mn 2.65

Results
* theoretical density: 6.1 g/cm3
* magnetic moment: 4.11 μB/f.u.
* uncorrected energy: -4.14 eV per atom
* DOS(E_F): 3.3 states/eV/f.u.